CeTl2Pt9 | GGA-PBE | relaxed

abc: 9.3463 9.3463 9.3463
angles: 33.93 33.93 33.93
Fractional coordinates of all 12 atoms:
Ce: 0.0000 0.0000 0.0000
Tl: 0.1412 0.1412 0.1412
Tl: 0.8588 0.8588 0.8588
Pt: 0.0808 0.5852 0.5852
Pt: 0.3333 0.3333 0.3333
Pt: 0.4148 0.4148 0.9192
Pt: 0.4148 0.9192 0.4148
Pt: 0.5000 0.5000 0.5000
Pt: 0.5852 0.0808 0.5852
Pt: 0.5852 0.5852 0.0808
Pt: 0.6667 0.6667 0.6667
Pt: 0.9192 0.4148 0.4148

## Properties
**Energy of formation**: -0.41 eV per atom
**Energy**: -5.83 eV/atom